The following is a PBE-GGA calculation of a relaxed structure of Na2VCdC, from Alexandria via LeMat-Bulk.

abc: 5.9551 5.3678 5.9551
angles: 90.00 90.00 90.00
Sites, in units of the cell vectors:
1 Na 0.0000 0.0000 0.5000
2 Na 0.5000 0.0000 0.0000
3 C 0.5000 0.5000 0.5000
4 V 0.0000 0.0000 0.0000
5 Cd 0.0000 0.5000 0.0000

Summary:
**DOS(E_F)**: 12.3 states/eV/cell
**Space-group type**: P4/mmm, No. 123
**Magnetization**: 7.231 μB per cell
**Energy relative to the elements**: 2.11 eV per atom

---

The following is a PBE-GGA calculation of a relaxed structure of Tl2CdHRh, from Alexandria via LeMat-Bulk.

abc: 5.4921 5.4921 3.4675
angles: 90.00 90.00 90.00
Sites, in units of the cell vectors:
1 H 0.0000 0.0000 0.5000
2 Tl 0.0000 0.5000 0.0000
3 Tl 0.5000 0.0000 0.0000
4 Rh 0.0000 0.0000 0.0000
5 Cd 0.5000 0.5000 0.5000

Summary:
**DOS(E_F)**: 2.2 states/eV/cell
**Energy**: -15.738 eV/cell
**Space-group type**: P4/mmm, No. 123
**Magnetization**: 0.000 μB per cell

---

The following is a PBE-GGA calculation of a relaxed structure of PrNd3Tm8, from Alexandria via LeMat-Bulk.

abc: 8.4415 8.4486 8.4415
angles: 95.89 136.31 100.03
Sites, in units of the cell vectors:
1 Pr 0.8364 0.0000 0.8364
2 Nd 0.4964 0.7495 0.2460
3 Nd 0.4965 0.2505 0.7469
4 Nd 0.8370 0.5000 0.3370
5 Tm 0.4994 0.1686 0.3310
6 Tm 0.4989 0.6682 0.8311
7 Tm 0.1623 0.8314 0.3307
8 Tm 0.1629 0.3318 0.8307
9 Tm 0.1708 0.4189 0.2530
10 Tm 0.8343 0.0817 0.2527
11 Tm 0.8341 0.5811 0.7519
12 Tm 0.1710 0.9183 0.7526

Summary:
**DOS(E_F)**: 22.4 states/eV/cell
**Space-group type**: Imm2, No. 44
**Magnetization**: 0.000 μB per cell
**Energy relative to the elements**: 0.02 eV per atom

---

The following is a PBE-GGA calculation of a relaxed structure of Tl3SiSn, from Alexandria via LeMat-Bulk.

abc: 5.7861 5.7861 5.7861
angles: 90.00 90.00 90.00
Sites, in units of the cell vectors:
1 Tl 0.0000 0.5000 0.0000
2 Tl 0.0000 0.0000 0.5000
3 Tl 0.5000 0.0000 0.0000
4 Si 0.5000 0.5000 0.5000
5 Sn 0.0000 0.0000 0.0000

Summary:
**DOS(E_F)**: 4.0 states/eV/cell
**Space-group type**: Pm-3m, No. 221
**Magnetization**: 1.380 μB per cell
**Relative energy among the computed polymorphs**: 388 meV per atom
**Raw formation energy**: 0.852 eV per atom

---

The following is a PBE-GGA calculation of a relaxed structure of VSiNi, from Alexandria via LeMat-Bulk.

abc: 3.8767 3.8767 3.8767
angles: 60.00 60.00 60.00
Sites, in units of the cell vectors:
1 Ni 0.2500 0.2500 0.2500
2 Si 0.0000 0.0000 0.0000
3 V 0.5000 0.5000 0.5000

Summary:
**DOS(E_F)**: 4.4 states/eV/cell
**Space-group type**: F-43m, No. 216
**Magnetization**: 0.941 μB per cell
**Raw formation energy**: -0.321 eV per atom

---

The following is a PBE-GGA calculation of a relaxed structure of Ba2SmAgS4, from Alexandria via LeMat-Bulk.

abc: 4.2883 7.3989 7.4824
angles: 69.43 90.00 90.00
Sites, in units of the cell vectors:
1 Ba 0.0000 0.0000 0.0000
2 Ba 0.5000 0.0000 0.5000
3 Sm 0.0000 0.5000 0.5000
4 Ag 0.5000 0.5000 0.0000
5 S 0.0000 0.7142 0.7521
6 S 0.0000 0.2858 0.2479
7 S 0.5000 0.7241 0.2738
8 S 0.5000 0.2759 0.7262

Summary:
**Space-group type**: P2/m, No. 10
**Magnetization**: 0.000 μB per cell
**Raw formation energy**: -1.591 eV per atom

---

The following is a PBE-GGA calculation of a relaxed structure of PaCoH, from Alexandria via LeMat-Bulk.

abc: 3.6017 3.6017 4.2799
angles: 114.88 114.88 90.00
Sites, in units of the cell vectors:
1 H 0.9822 0.9822 0.9644
2 Pa 0.6682 0.6682 0.3364
3 Co 0.1996 0.1996 0.3992

Summary:
**DOS(E_F)**: 1.0 states/eV/cell
**Space-group type**: I4mm, No. 107
**Magnetization**: 0.000 μB per cell
**Relative energy among the computed polymorphs**: 127 meV per atom

---

The following is a PBE-GGA calculation of a relaxed structure of Ce2Ni3As4Pt, from Alexandria via LeMat-Bulk.

abc: 4.2904 4.2904 9.4327
angles: 90.00 90.00 90.00
Sites, in units of the cell vectors:
1 Ce 0.5000 0.0000 0.2464
2 Ce 0.0000 0.5000 0.7536
3 Ni 0.0000 0.0000 0.5000
4 Ni 0.5000 0.0000 0.8879
5 Ni 0.0000 0.5000 0.1121
6 As 0.5000 0.5000 0.0000
7 As 0.0000 0.0000 0.0000
8 As 0.5000 0.0000 0.6404
9 As 0.0000 0.5000 0.3596
10 Pt 0.5000 0.5000 0.5000

Summary:
**DOS(E_F)**: 11.7 states/eV/cell
**Space-group type**: P-4m2, No. 115
**Magnetization**: 1.250 μB per cell
**Energy relative to the elements**: -0.84 eV per atom